Record 1
{
  "formula": "TiCr2ReI",
  "functional": "PBE",
  "state": "relaxed",
  "lattice": [[4.5105, 0.0000, 0.0000], [0.0000, 4.7986, 0.0000], [0.0000, 0.0000, 4.5105]],
  "species": ["Cr", "Cr", "I", "Ti", "Re"],
  "fractional_positions": [[0.5000, 0.0000, 0.0000], [0.0000, 0.0000, 0.5000], [0.0000, 0.0000, 0.0000], [0.0000, 0.5000, 0.0000], [0.5000, 0.5000, 0.5000]],
  "space_group": "P4/mmm",
  "raw_formation_energy_ev_per_atom": 2.197
}

Record 2
{
  "formula": "Sm2Ho4Sc5",
  "functional": "PBE",
  "state": "relaxed",
  "lattice": [[3.4456, 0.0000, 0.0000], [0.0000, 8.3599, -2.0687], [0.0000, -1.0759, 11.3757]],
  "species": ["Sc", "Sc", "Sc", "Sc", "Sc", "Sm", "Sm", "Ho", "Ho", "Ho", "Ho"],
  "fractional_positions": [[0.0000, 0.9111, 0.1009], [0.0000, 0.5045, 0.3723], [0.0000, 0.5000, 0.0000], [0.0000, 0.4955, 0.6277], [0.0000, 0.0889, 0.8991], [0.0000, 0.8678, 0.5940], [0.0000, 0.1322, 0.4060], [0.5000, 0.2591, 0.1515], [0.5000, 0.7409, 0.8485], [0.5000, 0.2488, 0.7257], [0.5000, 0.7512, 0.2743]],
  "formation_energy_mev_per_atom": 136,
  "space_group": "P2/m"
}

Record 3
{
  "formula": "CoCuRhAu",
  "functional": "PBE",
  "state": "relaxed",
  "lattice": [[4.2956, 0.0000, 0.0000], [2.1478, 3.7201, 0.0000], [2.1478, 1.2400, 3.5073]],
  "species": ["Cu", "Co", "Rh", "Au"],
  "fractional_positions": [[0.2500, 0.2500, 0.2500], [0.7500, 0.7500, 0.7500], [0.0000, 0.0000, 0.0000], [0.5000, 0.5000, 0.5000]],
  "formation_energy_mev_per_atom": 165,
  "space_group": "F-43m"
}

Record 4
{
  "formula": "HfGa2F2",
  "functional": "PBE",
  "state": "relaxed",
  "lattice": [[-0.6400, 4.7045, 5.0633], [-6.1296, 1.9631, -2.5988], [-1.5016, -2.2151, 1.8683]],
  "species": ["F", "F", "F", "F", "Hf", "Hf", "Ga", "Ga", "Ga", "Ga"],
  "fractional_positions": [[0.6394, 0.1394, 0.0000], [0.8606, 0.6394, 0.0000], [0.3606, 0.8606, 0.0000], [0.1394, 0.3606, 0.0000], [0.5000, 0.5000, 0.0000], [0.0000, 0.0000, 0.0000], [0.2059, 0.7059, 0.5000], [0.7941, 0.2941, 0.5000], [0.7059, 0.7941, 0.5000], [0.2941, 0.2059, 0.5000]],
  "space_group": "P4/mbm",
  "raw_formation_energy_ev_per_atom": -1.100
}